Entry 1:
Compound: Pm8HgBi5
Source: Alexandria via LeMat-Bulk
Functional: PBE
Structure: relaxed

Calculated values
Volume = 442 Å³/cell
Total magnetization = 0.0 Bohr magnetons per cell
Electronic total energy = -4.87 eV per atom
Space-group type = No. 82

Cell lengths 8.315, 8.315, 8.315 Å; angles 109.79, 109.79, 108.83 degrees
Fractional positions:
Pm  0.013  0.126  0.746
Pm  0.228  0.478  0.604
Pm  0.377  0.772  0.251
Pm  0.380  0.267  0.254
Pm  0.522  0.126  0.749
Pm  0.733  0.987  0.113
Pm  0.874  0.620  0.887
Pm  0.874  0.623  0.396
Hg  0.750  0.250  0.500
Bi  0.005  0.377  0.128
Bi  0.123  0.995  0.372
Bi  0.249  0.877  0.872
Bi  0.500  0.500  0.000
Bi  0.623  0.751  0.628



Entry 2:
Compound: Pm2Hg3Bi3
Source: Alexandria via LeMat-Bulk
Functional: PBE
Structure: relaxed

Calculated values
Volume = 225 Å³/cell
Total magnetization = 0.0 Bohr magnetons per cell
Electronic total energy = -3.20 eV per atom
Space-group type = No. 47

Cell lengths 4.667, 5.062, 9.520 Å; angles 90.00, 90.00, 90.00 degrees
Fractional positions:
Pm  0.000  0.000  0.244
Pm  0.000  0.000  0.756
Hg  0.000  0.500  0.000
Hg  0.500  0.500  0.236
Hg  0.500  0.500  0.764
Bi  0.000  0.500  0.500
Bi  0.500  0.000  0.000
Bi  0.500  0.000  0.500



Entry 3:
Compound: PmHgBi
Source: Alexandria via LeMat-Bulk
Functional: PBE
Structure: relaxed

Calculated values
Volume = 90 Å³/cell
Total magnetization = 0.0 Bohr magnetons per cell
Electronic total energy = -3.43 eV per atom
Space-group type = No. 107
Energy relative to the lowest polymorph listed for this composition = 98.8 meV/atom

Cell lengths 5.686, 5.686, 5.686 Å; angles 135.17, 135.17, 65.27 degrees
Fractional positions:
Pm  0.000  0.000  0.000
Hg  0.675  0.675  0.000
Bi  0.348  0.348  0.000



Entry 4:
Compound: Pm5Hg2Bi
Source: Alexandria via LeMat-Bulk
Functional: PBE
Structure: relaxed

Calculated values
Volume = 491 Å³/cell
Total magnetization = 0.0 Bohr magnetons per cell
Electronic total energy = -4.01 eV per atom
Space-group type = No. 140

Cell lengths 8.972, 8.972, 8.972 Å; angles 122.39, 122.39, 85.91 degrees
Fractional positions:
Pm  0.000  0.000  0.000
Pm  0.006  0.506  0.806
Pm  0.201  0.006  0.500
Pm  0.299  0.799  0.806
Pm  0.494  0.299  0.500
Pm  0.500  0.500  0.000
Pm  0.506  0.701  0.500
Pm  0.701  0.201  0.194
Pm  0.799  0.994  0.500
Pm  0.994  0.494  0.194
Hg  0.142  0.358  0.500
Hg  0.358  0.858  0.217
Hg  0.642  0.142  0.783
Hg  0.858  0.642  0.500
Bi  0.250  0.250  0.000
Bi  0.750  0.750  0.000